The following is a DFT calculation (GGA-PBEsol) of a geometry-optimized Ca2CdP2 structure.

a b c (Å): 4.159 6.904 16.015
angles (deg): 90.00 90.00 90.00
Atoms (fractional coordinates):
1 P 0.250 0.283 0.071
2 Ca 0.750 0.944 0.783
3 P 0.750 0.717 0.929
4 Cd 0.250 0.607 0.849
5 P 0.750 0.767 0.188
6 Ca 0.250 0.719 0.052
7 P 0.750 0.217 0.571
8 Cd 0.750 0.393 0.151
9 Ca 0.250 0.056 0.217
10 Cd 0.250 0.107 0.651
11 P 0.250 0.233 0.812
12 P 0.750 0.267 0.312
13 Cd 0.750 0.893 0.349
14 Ca 0.750 0.781 0.552
15 Ca 0.250 0.556 0.283
16 Ca 0.750 0.444 0.717
17 Ca 0.250 0.219 0.448
18 Ca 0.750 0.281 0.948
19 P 0.250 0.783 0.429
20 P 0.250 0.733 0.688

Output
The value obtained for the energy of formation is -0.922 eV per atom. The calculation puts the energy above the most stable polymorph in this dataset at 6 meV/atom. The total energy is -86.6 eV/cell.

***

The following is a DFT calculation (GGA-PBEsol) of a geometry-optimized SrAs2WBr structure.

a b c (Å): 5.379 5.502 5.502
angles (deg): 90.00 90.00 90.00
Atoms (fractional coordinates):
1 Sr 0.000 0.000 0.000
2 As 0.000 0.000 0.500
3 W 0.500 0.500 0.500
4 Br 0.500 0.000 0.000
5 As 0.000 0.500 0.000

Output
Its uncorrected formation energy is 1.674 eV per atom. The total energy is -19.4 eV/cell.

***

The following is a DFT calculation (GGA-PBEsol) of a geometry-optimized ZnTe structure.

a b c (Å): 4.240 4.240 7.090
angles (deg): 90.00 90.00 120.00
Atoms (fractional coordinates):
1 Zn 0.667 0.333 0.375
2 Zn 0.333 0.667 0.625
3 Te 0.333 0.667 0.235
4 Te 0.667 0.333 0.765

Output
Its uncorrected formation energy is -0.310 eV per atom. The total energy is -11.5 eV/cell.

***

The following is a DFT calculation (GGA-PBEsol) of a geometry-optimized ZnRu2 structure.

a b c (Å): 2.725 5.018 6.266
angles (deg): 104.52 90.00 105.76
Atoms (fractional coordinates):
1 Ru 0.635 0.270 0.025
2 Ru 0.365 0.730 0.975
3 Zn 0.305 0.610 0.365
4 Ru 0.976 0.952 0.702
5 Ru 0.024 0.048 0.298
6 Zn 0.695 0.390 0.635

Output
The value obtained for the energy of formation is 0.047 eV per atom. The total energy is -43.6 eV/cell.

***

The following is a DFT calculation (GGA-PBEsol) of a geometry-optimized SrSn3C structure.

a b c (Å): 4.905 4.905 4.905
angles (deg): 90.00 90.00 90.00
Atoms (fractional coordinates):
1 Sn 0.500 0.000 0.000
2 C 0.000 0.000 0.000
3 Sn 0.000 0.000 0.500
4 Sr 0.500 0.500 0.500
5 Sn 0.000 0.500 0.000

Output
The value obtained for the energy of formation is 0.485 eV per atom. The total energy is -21.8 eV/cell.

***

The following is a DFT calculation (GGA-PBEsol) of a geometry-optimized VFeP2O8F2 structure.

a b c (Å): 5.050 5.182 7.265
angles (deg): 109.86 107.34 93.65
Atoms (fractional coordinates):
1 F 0.138 0.308 0.248
2 F 0.862 0.692 0.752
3 O 0.738 0.183 0.884
4 O 0.647 0.644 0.327
5 V 0.000 0.000 0.000
6 O 0.659 0.168 0.415
7 Fe 0.500 0.500 0.500
8 O 0.341 0.832 0.585
9 O 0.252 0.134 0.905
10 O 0.748 0.866 0.095
11 O 0.353 0.356 0.673
12 O 0.262 0.817 0.116
13 P 0.582 0.876 0.247
14 P 0.418 0.124 0.753

Output
Its uncorrected formation energy is -2.112 eV per atom. The total energy is -105.6 eV/cell.

***

The following is a DFT calculation (GGA-PBEsol) of a geometry-optimized MnOsPt2 structure.

a b c (Å): 2.682 2.682 8.943
angles (deg): 81.38 81.38 60.00
Atoms (fractional coordinates):
1 Pt 0.756 0.756 0.732
2 Mn 0.503 0.503 0.492
3 Os 0.243 0.243 0.271
4 Pt 0.998 0.998 0.005

Output
The value obtained for the energy of formation is 0.012 eV per atom. The total energy is -35.9 eV/cell.

***

The following is a DFT calculation (GGA-PBEsol) of a geometry-optimized ZrSc2Al structure.

a b c (Å): 3.109 5.242 5.349
angles (deg): 107.46 90.00 90.00
Atoms (fractional coordinates):
1 Sc 0.000 0.000 0.000
2 Sc 0.500 0.000 0.500
3 Zr 0.500 0.500 0.000
4 Al 0.000 0.500 0.500

Output
The value obtained for the energy of formation is -0.150 eV per atom. The total energy is -27.0 eV/cell.